# Pm2SmDyS6 | the Alexandria database | PBE-GGA | relaxed
# Calculated total energy, eV per atom: -6.393
# ΔE_f (raw), eV per formula unit: -20.3
data_Pm2SmDyS6
_cell_length_a 7.0720
_cell_length_b 7.0720
_cell_length_c 18.7293
_cell_angle_alpha 90.00
_cell_angle_beta 90.00
_cell_angle_gamma 120.00
_symmetry_space_group_name_H-M 'R 3'
_symmetry_Int_Tables_number 146
_symmetry_space_group_name_Hall 'R 3'
loop_
_atom_site_label
_atom_site_type_symbol
_atom_site_fract_x
_atom_site_fract_y
_atom_site_fract_z
_atom_site_occupancy
Pm1 Pm 0.0000 0.0000 0.0000 1
Pm2 Pm 0.0000 0.0000 0.4983 1
Sm1 Sm 0.0000 0.0000 0.2052 1
Dy1 Dy 0.0000 0.0000 0.7028 1
S1 S 0.0396 0.3597 0.7702 1
S2 S 0.0414 0.6718 0.2709 1

# LiAl2F | the Alexandria database | PBE-GGA | relaxed
# Calculated total energy, eV per atom: -3.090
# Energy above the most stable polymorph in this dataset, meV per atom: 250
# ΔE_f (raw), eV per formula unit: -1.1
data_LiAl2F
_cell_length_a 6.398
_cell_length_b 6.398
_cell_length_c 6.398
_cell_angle_alpha 90.00
_cell_angle_beta 90.00
_cell_angle_gamma 90.00
_symmetry_space_group_name_H-M 'F m -3 m'
_symmetry_Int_Tables_number 225
_symmetry_space_group_name_Hall '-F 4 2 3'
loop_
_atom_site_label
_atom_site_type_symbol
_atom_site_fract_x
_atom_site_fract_y
_atom_site_fract_z
_atom_site_occupancy
Li1 Li 0.000 0.000 0.000 1
Al1 Al 0.250 0.250 0.250 1
F1 F 0.000 0.000 0.500 1

# HI3Br | the Alexandria database | PBE-GGA | relaxed
# Calculated total energy, eV per atom: -1.178
# Energy above the most stable polymorph in this dataset, meV per atom: 713
data_HI3Br
_cell_length_a 5.947
_cell_length_b 5.947
_cell_length_c 5.947
_cell_angle_alpha 90.00
_cell_angle_beta 90.00
_cell_angle_gamma 90.00
_symmetry_space_group_name_H-M 'P m -3 m'
_symmetry_Int_Tables_number 221
_symmetry_space_group_name_Hall '-P 4 2 3'
loop_
_atom_site_label
_atom_site_type_symbol
_atom_site_fract_x
_atom_site_fract_y
_atom_site_fract_z
_atom_site_occupancy
H1 H 0.000 0.000 0.000 1
I1 I 0.000 0.500 0.500 1
Br1 Br 0.500 0.500 0.500 1

# ZrMnTe2 | the Alexandria database | PBE-GGA | relaxed
# Calculated total energy, eV per atom: -6.233
# Energy above the most stable polymorph in this dataset, meV per atom: 252
# ΔE_f (raw), eV per formula unit: -0.9
data_ZrMnTe2
_cell_length_a 7.089
_cell_length_b 7.089
_cell_length_c 7.089
_cell_angle_alpha 90.00
_cell_angle_beta 90.00
_cell_angle_gamma 90.00
_symmetry_space_group_name_H-M 'F m -3 m'
_symmetry_Int_Tables_number 225
_symmetry_space_group_name_Hall '-F 4 2 3'
loop_
_atom_site_label
_atom_site_type_symbol
_atom_site_fract_x
_atom_site_fract_y
_atom_site_fract_z
_atom_site_occupancy
Zr1 Zr 0.000 0.000 0.000 1
Mn1 Mn 0.000 0.000 0.500 1
Te1 Te 0.250 0.250 0.250 1

# Li2MgNi | the Alexandria database | PBE-GGA | relaxed
# Calculated total energy, eV per atom: -2.729
# ΔE_f, eV per atom: 0.072
data_Li2MgNi
_cell_length_a 3.168
_cell_length_b 3.168
_cell_length_c 5.990
_cell_angle_alpha 90.00
_cell_angle_beta 90.00
_cell_angle_gamma 90.00
_symmetry_space_group_name_H-M 'P 4/m m m'
_symmetry_Int_Tables_number 123
_symmetry_space_group_name_Hall '-P 4 2'
loop_
_atom_site_label
_atom_site_type_symbol
_atom_site_fract_x
_atom_site_fract_y
_atom_site_fract_z
_atom_site_occupancy
Li1 Li 0.000 0.000 0.203 1
Mg1 Mg 0.500 0.500 0.500 1
Ni1 Ni 0.500 0.500 0.000 1

# HfTl2Ag | the Alexandria database | PBE-GGA | relaxed
# Calculated total energy, eV per atom: -4.230
# ΔE_f, eV per atom: 0.155
# Energy above the most stable polymorph in this dataset, meV per atom: 0
data_HfTl2Ag
_cell_length_a 4.539
_cell_length_b 4.539
_cell_length_c 4.276
_cell_angle_alpha 90.00
_cell_angle_beta 90.00
_cell_angle_gamma 90.00
_symmetry_space_group_name_H-M 'P 4/m m m'
_symmetry_Int_Tables_number 123
_symmetry_space_group_name_Hall '-P 4 2'
loop_
_atom_site_label
_atom_site_type_symbol
_atom_site_fract_x
_atom_site_fract_y
_atom_site_fract_z
_atom_site_occupancy
Hf1 Hf 0.000 0.000 0.000 1
Tl1 Tl 0.000 0.500 0.500 1
Ag1 Ag 0.500 0.500 0.000 1

Q: The lowest calculated total energy belongs to which entry?
A: Pm2SmDyS6